DFT (PBE) results for crystalline KSiTe2N at its relaxed geometry.

Results
**Crystal system**: tetragonal
**Energy relative to the lowest polymorph listed for this composition**: 0 meV per atom
**Total moment**: 0.00 μB per cell

```
KSiTe2N
1.0
6.085 0.000 0.000
0.000 6.085 0.000
0.000 0.000 3.288
K Te Si N
1 2 1 1
Direct
0.500 0.500 0.500 K
0.000 0.500 0.000 Te
0.500 0.000 0.000 Te
0.000 0.000 0.000 Si
0.000 0.000 0.500 N
```